No. 1
An optimized crystal structure of ZrScP2S. Source: the Alexandria database, functional PBE.

Summary:
Total energy (eV/atom): -5.992
Formation energy from raw total energies (meV/atom): -26.6
Space-group type: No. 123

```
ZrScP2S
1.0
4.825 0.000 0.000
0.000 4.825 0.000
0.000 0.000 4.719
P Sc S Zr
2 1 1 1
direct
0.000 0.500 0.000
0.500 0.000 0.000
0.000 0.000 0.000
0.000 0.000 0.500
0.500 0.500 0.500
```



No. 2
An optimized crystal structure of TlCdSbAu3. Source: the Alexandria database, functional PBE.

Summary:
Total energy (eV/atom): -2.879
Formation energy from raw total energies (meV/atom): -6.1
Space-group type: No. 63

```
TlCdSbAu3
1.0
-4.215 -5.402 -3.164
2.439 -4.147 3.832
-5.766 3.208 2.205
Tl Sb Au Cd
2 2 6 2
direct
0.750 0.338 0.676
0.250 0.662 0.324
0.250 0.357 0.714
0.750 0.643 0.286
0.250 0.133 0.267
0.000 0.734 0.000
0.500 0.266 0.000
0.750 0.867 0.733
0.500 0.734 0.000
0.000 0.266 0.000
0.250 0.894 0.788
0.750 0.106 0.212
```



No. 3
An optimized crystal structure of LiPm4Ru. Source: the Alexandria database, functional PBE.

Summary:
E_form (meV/atom): -70.5
Total energy (eV/atom): -5.102
Space-group type: No. 15

```
LiPm4Ru
1.0
-3.337 -1.466 -5.174
8.970 1.669 -1.957
-1.472 -6.293 4.452
Pm Li Ru
8 2 2
direct
0.382 0.931 0.658
0.757 0.368 0.168
0.618 0.069 0.342
0.912 0.801 0.168
0.776 0.727 0.658
0.243 0.632 0.832
0.088 0.199 0.832
0.224 0.273 0.342
0.629 0.379 0.757
0.371 0.621 0.243
0.750 0.000 0.001
0.250 0.000 0.999
```



No. 4
An optimized crystal structure of TiSb2PbI. Source: the Alexandria database, functional PBE.

Summary:
Total energy (eV/atom): -4.181
Formation energy from raw total energies (meV/atom): 99.1
Space-group type: No. 123

```
TiSb2PbI
1.0
-3.337 1.931 -3.608
-1.184 -4.912 -1.535
-4.280 -0.176 3.865
Pb Ti Sb I
1 1 2 1
direct
0.500 0.500 0.500
0.000 0.000 0.000
0.500 0.000 0.000
0.000 0.500 0.000
0.000 0.000 0.500
```



No. 5
An optimized crystal structure of HfTl2Br2Cl4. Source: the Alexandria database, functional PBE.

Summary:
Total energy (eV/atom): -4.251
Formation energy from raw total energies (meV/atom): -1426.3
Space-group type: No. 12

```
HfTl2Br2Cl4
1.0
7.465 1.045 0.711
2.683 6.887 0.318
2.683 2.825 6.290
Br Cl Tl Hf
2 4 2 1
direct
0.814 0.760 0.760
0.186 0.240 0.240
0.316 0.720 0.199
0.684 0.801 0.280
0.684 0.280 0.801
0.316 0.199 0.720
0.269 0.751 0.751
0.731 0.249 0.249
0.500 0.000 0.000
```



No. 6
An optimized crystal structure of TaCrPdI2. Source: the Alexandria database, functional PBE.

Summary:
Total energy (eV/atom): -4.495
Formation energy from raw total energies (meV/atom): 1459.3
Space-group type: No. 123

```
TaCrPdI2
1.0
5.274 0.000 0.000
0.000 4.935 0.000
0.000 0.000 5.274
I Pd Ta Cr
2 1 1 1
direct
0.500 0.000 0.000
0.000 0.000 0.500
0.000 0.000 0.000
0.500 0.500 0.500
0.000 0.500 0.000
```